1.
A plane-wave DFT calculation with PBE-GGA was carried out for a relaxed K2NdGaI6 crystal.

Results
- Raw total energy: -94.59 eV for the cell shown
- Total moment: 0.0 μB/cell
- ΔE_f (raw): -1.22 eV/atom
- Mass density: 3.69 g/cm³
- Calculated volume: 1421.9 Å³ per cell
- N(E_F): 0.00 states/eV/cell

a = 8.6118 Å, b = 8.6118 Å, c = 22.1381 Å
α = 90.00°, β = 90.00°, γ = 120.00°
Space group R3 (No. 146, hexagonal axes)
Unique sites:
K (0.0000, 0.0000, 0.0000)
K (0.0000, 0.0000, 0.4922)
Nd (0.0000, 0.0000, 0.6999)
Ga (0.0000, 0.0000, 0.2054)
I (0.0051, 0.3976, 0.4444)
I (0.0662, 0.7107, 0.2801)


2.
A plane-wave DFT calculation with PBE-GGA was carried out for a relaxed KNpGa2I6 crystal.

Results
- Raw total energy: -111.42 eV for the cell shown
- Total moment: 12.0 μB/cell
- ΔE_f (raw): -0.77 eV/atom
- Mass density: 4.31 g/cm³
- Calculated volume: 1361.1 Å³ per cell
- N(E_F): 10.08 states/eV/cell

a = 8.2948 Å, b = 8.2948 Å, c = 22.8403 Å
α = 90.00°, β = 90.00°, γ = 120.00°
Space group R3 (No. 146, hexagonal axes)
Unique sites:
K (0.0000, 0.0000, 0.0000)
Np (0.0000, 0.0000, 0.4896)
Ga (0.0000, 0.0000, 0.3044)
Ga (0.0000, 0.0000, 0.8109)
I (0.0093, 0.6507, 0.2291)
I (0.0261, 0.3939, 0.0680)


3.
A plane-wave DFT calculation with PBE-GGA was carried out for a relaxed KNpGaI6 crystal.

Results
- Raw total energy: -67.69 eV for the cell shown
- Total moment: 6.0 μB/cell
- ΔE_f (raw): -0.83 eV/atom
- Mass density: 4.19 g/cm³
- Calculated volume: 877.5 Å³ per cell
- N(E_F): 8.58 states/eV/cell

a = 7.820 Å, b = 7.820 Å, c = 14.348 Å
α = 90.00°, β = 90.00°, γ = 90.00°
Space group P4_2nm (No. 102)
Unique sites:
K (0.000, 0.000, 0.000)
Np (0.000, 0.000, 0.336)
Ga (0.000, 0.000, 0.664)
I (0.180, 0.180, 0.495)
I (0.199, 0.199, 0.192)
I (0.228, 0.228, 0.828)


4.
A plane-wave DFT calculation with PBE-GGA was carried out for a relaxed KGaIO6 crystal.

Results
- Raw total energy: -43.51 eV for the cell shown
- Total moment: 1.1 μB/cell
- ΔE_f (raw): -0.90 eV/atom
- Mass density: 3.85 g/cm³
- Calculated volume: 142.9 Å³ per cell
- N(E_F): 6.96 states/eV/cell

a = 5.2178 Å, b = 5.2178 Å, c = 6.0607 Å
α = 90.00°, β = 90.00°, γ = 120.00°
Space group P312 (No. 149)
Unique sites:
K (0.0000, 0.0000, 0.0000)
Ga (0.3333, 0.6667, 0.5000)
I (0.6667, 0.3333, 0.5000)
O (0.3895, 0.0155, 0.6800)


5.
A plane-wave DFT calculation with PBE-GGA was carried out for a relaxed K2GaIO6 crystal.

Results
- Raw total energy: -286.05 eV for the cell shown
- Total moment: 0.0 μB/cell
- ΔE_f (raw): -1.12 eV/atom
- Mass density: 4.50 g/cm³
- Calculated volume: 821.3 Å³ per cell
- N(E_F): 10.63 states/eV/cell

a = 5.7916 Å, b = 5.7916 Å, c = 28.2728 Å
α = 90.00°, β = 90.00°, γ = 120.00°
Space group R-3m (No. 166, hexagonal axes)
Unique sites:
K (0.0000, 0.0000, 0.1294)
K (0.0000, 0.0000, 0.2783)
Ga (0.0000, 0.0000, 0.4035)
I (0.0000, 0.0000, 0.0000)
I (0.0000, 0.0000, 0.5000)
O (0.0221, 0.5111, 0.7061)
O (0.0390, 0.5195, 0.1241)


6.
A plane-wave DFT calculation with PBE-GGA was carried out for a relaxed KPaGaI6 crystal.

Results
- Raw total energy: -63.09 eV for the cell shown
- Total moment: 2.0 μB/cell
- ΔE_f (raw): -0.96 eV/atom
- Mass density: 4.10 g/cm³
- Calculated volume: 892.7 Å³ per cell
- N(E_F): 1.05 states/eV/cell

a = 8.2576 Å, b = 8.2576 Å, c = 15.1168 Å
α = 90.00°, β = 90.00°, γ = 120.00°
Space group P-31c (No. 163)
Unique sites:
K (0.0000, 0.0000, 0.0000)
Pa (0.3333, 0.6667, 0.2500)
Ga (0.3333, 0.6667, 0.7500)
I (0.0223, 0.3735, 0.1347)


7.
A plane-wave DFT calculation with PBE-GGA was carried out for a relaxed KPmGa2I6 crystal.

Results
- Raw total energy: -93.46 eV for the cell shown
- Total moment: 0.0 μB/cell
- ΔE_f (raw): -1.00 eV/atom
- Mass density: 3.98 g/cm³
- Calculated volume: 1357.1 Å³ per cell
- N(E_F): 0.00 states/eV/cell

a = 8.3182 Å, b = 8.3182 Å, c = 22.6469 Å
α = 90.00°, β = 90.00°, γ = 120.00°
Space group R3 (No. 146, hexagonal axes)
Unique sites:
K (0.0000, 0.0000, 0.0000)
Pm (0.0000, 0.0000, 0.4901)
Ga (0.0000, 0.0000, 0.3041)
Ga (0.0000, 0.0000, 0.8103)
I (0.0082, 0.3566, 0.2283)
I (0.0263, 0.6340, 0.0683)


8.
A plane-wave DFT calculation with PBE-GGA was carried out for a relaxed K2PmGaI6 crystal.

Results
- Raw total energy: -94.52 eV for the cell shown
- Total moment: 0.0 μB/cell
- ΔE_f (raw): -1.22 eV/atom
- Mass density: 3.72 g/cm³
- Calculated volume: 1411.3 Å³ per cell
- N(E_F): 0.00 states/eV/cell

a = 8.5926 Å, b = 8.5926 Å, c = 22.0719 Å
α = 90.00°, β = 90.00°, γ = 120.00°
Space group R3 (No. 146, hexagonal axes)
Unique sites:
K (0.0000, 0.0000, 0.0000)
K (0.0000, 0.0000, 0.4925)
Pm (0.0000, 0.0000, 0.7923)
Ga (0.0000, 0.0000, 0.2870)
I (0.0223, 0.6214, 0.5449)
I (0.0658, 0.3400, 0.3812)


9.
A plane-wave DFT calculation with PBE-GGA was carried out for a relaxed KPrGa2I6 crystal.

Results
- Raw total energy: -93.63 eV for the cell shown
- Total moment: 0.0 μB/cell
- ΔE_f (raw): -1.00 eV/atom
- Mass density: 3.92 g/cm³
- Calculated volume: 1373.5 Å³ per cell
- N(E_F): 0.00 states/eV/cell

a = 8.3534 Å, b = 8.3534 Å, c = 22.7265 Å
α = 90.00°, β = 90.00°, γ = 120.00°
Space group R3 (No. 146, hexagonal axes)
Unique sites:
K (0.0000, 0.0000, 0.0000)
Pr (0.0000, 0.0000, 0.4898)
Ga (0.0000, 0.0000, 0.3032)
Ga (0.0000, 0.0000, 0.8088)
I (0.0030, 0.3526, 0.2274)
I (0.0245, 0.6316, 0.0663)


10.
A plane-wave DFT calculation with PBE-GGA was carried out for a relaxed K2PrGaI6 crystal.

Results
- Raw total energy: -94.66 eV for the cell shown
- Total moment: 0.0 μB/cell
- ΔE_f (raw): -1.23 eV/atom
- Mass density: 3.65 g/cm³
- Calculated volume: 1431.6 Å³ per cell
- N(E_F): 0.00 states/eV/cell

a = 8.6196 Å, b = 8.6196 Å, c = 22.2488 Å
α = 90.00°, β = 90.00°, γ = 120.00°
Space group R3 (No. 146, hexagonal axes)
Unique sites:
K (0.0000, 0.0000, 0.0000)
K (0.0000, 0.0000, 0.4932)
Pr (0.0000, 0.0000, 0.6995)
Ga (0.0000, 0.0000, 0.2045)
I (0.0033, 0.3949, 0.4440)
I (0.0644, 0.7099, 0.2794)


11.
A plane-wave DFT calculation with PBE-GGA was carried out for a relaxed KRbGaI3 crystal.

Results
- Raw total energy: -32.46 eV for the cell shown
- Total moment: 0.0 μB/cell
- ΔE_f (raw): -1.08 eV/atom
- Mass density: 3.34 g/cm³
- Calculated volume: 571.6 Å³ per cell
- N(E_F): 0.00 states/eV/cell

a = 9.706 Å, b = 4.763 Å, c = 12.776 Å
α = 90.00°, β = 104.59°, γ = 90.00°
Space group P2_1/m (No. 11)
Unique sites:
K (0.164, 0.250, 0.149)
Rb (0.222, 0.750, 0.694)
Ga (0.417, 0.750, 0.460)
I (0.106, 0.250, 0.868)
I (0.190, 0.250, 0.442)
I (0.448, 0.750, 0.245)


12.
A plane-wave DFT calculation with PBE-GGA was carried out for a relaxed K2RbGaI4 crystal.

Results
- Raw total energy: -21.86 eV for the cell shown
- Total moment: 0.0 μB/cell
- ΔE_f (raw): -1.18 eV/atom
- Mass density: 3.39 g/cm³
- Calculated volume: 363.0 Å³ per cell
- N(E_F): 0.00 states/eV/cell

a = 8.727 Å, b = 5.044 Å, c = 8.745 Å
α = 90.00°, β = 109.42°, γ = 90.00°
Space group P2/m (No. 10)
Unique sites:
K (0.000, 0.000, 0.000)
K (0.000, 0.500, 0.500)
Rb (0.500, 0.000, 0.500)
Ga (0.500, 0.500, 0.000)
I (0.249, 0.500, 0.235)
I (0.259, 0.000, 0.767)